1.
Zr7Fe3 (PBE, relaxed); ΔE_f = -0.1199 eV/atom; total moment = 0.000 μB/atom
1.0
8.866 0.000 0.000
-4.433 7.679 0.000
0.000 0.000 5.630
Zr Fe
14 6
Direct
0.075 0.538 0.000
0.127 0.255 0.712
0.127 0.873 0.712
0.255 0.127 0.212
0.333 0.667 0.493
0.462 0.538 0.000
0.462 0.925 0.000
0.538 0.075 0.500
0.538 0.462 0.500
0.667 0.333 0.993
0.745 0.873 0.712
0.873 0.127 0.212
0.873 0.745 0.212
0.925 0.462 0.500
0.187 0.375 0.248
0.187 0.813 0.248
0.375 0.187 0.748
0.625 0.813 0.248
0.813 0.187 0.748
0.813 0.625 0.748

2.
ZrFe (PBE, relaxed); ΔE_f = 0.1391 eV/atom; total moment = 0.728 μB/atom
1.0
3.419 0.000 0.000
0.000 8.523 0.000
0.000 0.000 4.684
Zr Fe
4 4
Direct
0.000 0.000 0.000
0.000 0.299 0.486
0.000 0.701 0.486
0.500 0.000 0.499
0.000 0.500 0.033
0.500 0.259 0.996
0.500 0.500 0.703
0.500 0.741 0.996